1.
First-principles (GGA-PBE) data for a geometry-optimized SiGe3Ir structure, as listed in Alexandria via LeMat-Bulk.

Values from the calculation:
Its total energy is -25.4 eV for the cell shown. Its uncorrected formation energy is 2.76 eV per formula unit.

Cell lengths 4.806, 4.806, 4.806 Å; angles 90.00, 90.00, 90.00 degrees
Element x y z (fractional)
Si 0.000 0.000 0.000
Ge 0.000 0.500 0.500
Ge 0.500 0.000 0.500
Ge 0.500 0.500 0.000
Ir 0.500 0.500 0.500

=====

2.
First-principles (GGA-PBE) data for a geometry-optimized SiGe3Ir structure, as listed in Alexandria via LeMat-Bulk.

Values from the calculation:
Its total energy is -22.9 eV for the cell shown. Its uncorrected formation energy is 5.24 eV per formula unit.

Cell lengths 4.629, 4.629, 4.629 Å; angles 90.00, 90.00, 90.00 degrees
Element x y z (fractional)
Si 0.000 0.000 0.000
Ge 0.000 0.000 0.500
Ge 0.000 0.500 0.000
Ge 0.500 0.000 0.000
Ir 0.500 0.500 0.500

=====

3.
First-principles (GGA-PBE) data for a geometry-optimized SiGeIr2 structure, as listed in Alexandria via LeMat-Bulk.

Values from the calculation:
Its total energy is -111.2 eV for the cell shown. Its uncorrected formation energy is -0.05 eV per formula unit.

Cell lengths 5.451, 5.451, 10.851 Å; angles 90.00, 90.00, 90.00 degrees
Element x y z (fractional)
Si 0.000 0.000 0.000
Si 0.000 0.500 0.250
Si 0.500 0.000 0.750
Si 0.500 0.500 0.500
Ge 0.000 0.000 0.500
Ge 0.000 0.500 0.750
Ge 0.500 0.000 0.250
Ge 0.500 0.500 0.000
Ir 0.235 0.250 0.125
Ir 0.250 0.735 0.375
Ir 0.250 0.765 0.875
Ir 0.265 0.250 0.625
Ir 0.735 0.750 0.625
Ir 0.750 0.235 0.875
Ir 0.750 0.265 0.375
Ir 0.765 0.750 0.125

=====

4.
First-principles (GGA-PBE) data for a geometry-optimized SiGeIr2 structure, as listed in Alexandria via LeMat-Bulk.

Values from the calculation:
Its total energy is -119.5 eV for the cell shown. Its uncorrected formation energy is -2.10 eV per formula unit.

Cell lengths 6.874, 6.314, 5.603 Å; angles 90.00, 90.27, 90.00 degrees
Element x y z (fractional)
Si 0.123 0.057 0.185
Si 0.123 0.443 0.685
Si 0.877 0.557 0.315
Si 0.877 0.943 0.815
Ge 0.377 0.586 0.311
Ge 0.377 0.914 0.811
Ge 0.623 0.086 0.189
Ge 0.623 0.414 0.689
Ir 0.104 0.706 0.005
Ir 0.104 0.794 0.505
Ir 0.348 0.203 0.500
Ir 0.348 0.297 0.000
Ir 0.652 0.703 0.000
Ir 0.652 0.797 0.500
Ir 0.896 0.206 0.495
Ir 0.896 0.294 0.995

=====

5.
First-principles (GGA-PBE) data for a geometry-optimized Sm2Si3GeIr4 structure, as listed in Alexandria via LeMat-Bulk.

Values from the calculation:
Its total energy is -75.6 eV for the cell shown. Its uncorrected formation energy is -9.84 eV per formula unit.

Cell lengths 4.196, 4.196, 9.926 Å; angles 90.00, 90.00, 90.00 degrees
Element x y z (fractional)
Sm 0.000 0.500 0.246
Sm 0.500 0.000 0.754
Si 0.000 0.000 0.000
Si 0.000 0.500 0.629
Si 0.500 0.000 0.371
Ge 0.500 0.500 0.000
Ir 0.000 0.000 0.500
Ir 0.000 0.500 0.869
Ir 0.500 0.000 0.131
Ir 0.500 0.500 0.500

=====

6.
First-principles (GGA-PBE) data for a geometry-optimized Sm2SiGe3Ir4 structure, as listed in Alexandria via LeMat-Bulk.

Values from the calculation:
Its total energy is -72.5 eV for the cell shown. Its uncorrected formation energy is -8.31 eV per formula unit.

Cell lengths 4.242, 4.242, 10.094 Å; angles 90.00, 90.00, 90.00 degrees
Element x y z (fractional)
Sm 0.000 0.500 0.243
Sm 0.500 0.000 0.757
Si 0.500 0.500 0.000
Ge 0.000 0.000 0.000
Ge 0.000 0.500 0.634
Ge 0.500 0.000 0.366
Ir 0.000 0.000 0.500
Ir 0.000 0.500 0.876
Ir 0.500 0.000 0.124
Ir 0.500 0.500 0.500

=====

7.
First-principles (GGA-PBE) data for a geometry-optimized Tb2SiGe3Ir4 structure, as listed in Alexandria via LeMat-Bulk.

Values from the calculation:
Its total energy is -72.2 eV for the cell shown. Its uncorrected formation energy is -8.25 eV per formula unit.

Cell lengths 4.210, 4.210, 10.085 Å; angles 90.00, 90.00, 90.00 degrees
Element x y z (fractional)
Tb 0.000 0.500 0.244
Tb 0.500 0.000 0.756
Si 0.500 0.500 0.000
Ge 0.000 0.000 0.000
Ge 0.000 0.500 0.634
Ge 0.500 0.000 0.366
Ir 0.000 0.000 0.500
Ir 0.000 0.500 0.875
Ir 0.500 0.000 0.125
Ir 0.500 0.500 0.500

=====

8.
First-principles (GGA-PBE) data for a geometry-optimized SiTcGeIr structure, as listed in Alexandria via LeMat-Bulk.

Values from the calculation:
Its total energy is -122.3 eV for the cell shown. Its uncorrected formation energy is -1.31 eV per formula unit.

Cell lengths 6.043, 6.043, 6.043 Å; angles 90.00, 90.00, 90.00 degrees
Element x y z (fractional)
Si 0.000 0.000 0.000
Si 0.000 0.500 0.500
Si 0.500 0.000 0.500
Si 0.500 0.500 0.000
Tc 0.250 0.250 0.250
Tc 0.250 0.750 0.750
Tc 0.750 0.250 0.750
Tc 0.750 0.750 0.250
Ge 0.000 0.000 0.500
Ge 0.000 0.500 0.000
Ge 0.500 0.000 0.000
Ge 0.500 0.500 0.500
Ir 0.250 0.250 0.750
Ir 0.250 0.750 0.250
Ir 0.750 0.250 0.250
Ir 0.750 0.750 0.750

=====

Number 1: total magnetization 0.00 μB/f.u., D(E_F) 3.97 states/eV/cell. Number 2: total magnetization 0.00 μB/f.u., D(E_F) 4.08 states/eV/cell. Number 3: total magnetization 0.00 μB/f.u., D(E_F) 6.57 states/eV/cell. Number 4: total magnetization 0.00 μB/f.u., D(E_F) 6.14 states/eV/cell. Number 5: total magnetization 0.00 μB/f.u., D(E_F) 4.51 states/eV/cell. Number 6: total magnetization 0.00 μB/f.u., D(E_F) 4.82 states/eV/cell. Number 7: total magnetization 0.00 μB/f.u., D(E_F) 4.48 states/eV/cell. Number 8: total magnetization 0.00 μB/f.u., D(E_F) 5.58 states/eV/cell.